Here is Hf3FeC after structural relaxation from Alexandria via LeMat-Bulk. Energies are from PBE.

extended XYZ file:
```
5
Lattice="-3.124 -1.100 2.909 2.578 -3.221 1.550 1.739 2.800 2.926" Properties=species:S:1:pos:R:3 pbc="T T T"
C 0.000 0.000 0.000
Hf 1.289 -1.611 0.775
Hf 0.869 1.400 1.463
Hf -1.562 -0.550 1.454
Fe 0.597 -0.760 3.693
```

DFT formation energy in eV per formula unit: -0.55
Excess energy over the best structure of this formula in the dataset in kJ/mol of formula units: 126

=====

Here is HfFe2C after structural relaxation from Alexandria via LeMat-Bulk. Energies are from PBE.

extended XYZ file:
```
8
Lattice="-1.638 3.306 -5.252 4.375 -3.237 -3.403 -0.252 -1.603 -4.852" Properties=species:S:1:pos:R:3 pbc="T T T"
C 1.368 0.034 -4.327
C 2.746 -2.403 -6.291
Hf 0.000 0.000 0.000
Hf -0.261 0.869 -7.216
Fe -0.340 0.858 -4.280
Fe 2.267 -1.607 -4.637
Fe 1.371 -1.571 -7.300
Fe 1.672 -0.747 -10.797
```

DFT formation energy in eV per formula unit: -0.04

=====

Here is HfFe2C2 after structural relaxation from Alexandria via LeMat-Bulk. Energies are from PBE.

extended XYZ file:
```
10
Lattice="6.060 0.000 0.000 0.000 6.060 0.000 0.000 0.000 2.797" Properties=species:S:1:pos:R:3 pbc="T T T"
C 2.197 5.227 0.000
C 5.227 3.863 0.000
C 3.863 0.833 0.000
C 0.833 2.197 0.000
Hf 0.000 0.000 0.000
Hf 3.030 3.030 0.000
Fe 0.796 3.826 1.399
Fe 3.826 5.264 1.399
Fe 5.264 2.234 1.399
Fe 2.234 0.796 1.399
```

DFT formation energy in eV per formula unit: 2.54